DFT (GGA-PBE) results for crystalline CeDy2Se4 at its relaxed geometry.

Energy above the most stable polymorph in this dataset: 0.000 eV per atom
Crystal system: orthorhombic
SG: Pnma
D(E_F): 8.2 states/eV/f.u.
Energy: -6.01 eV/atom

Cell: 4.048 13.662 13.657 Å, 90.00 90.00 90.00°
Fractional positions:
Se  0.250  0.212  0.739
Se  0.250  0.255  0.482
Se  0.750  0.788  0.261
Se  0.250  0.755  0.018
Se  0.750  0.969  0.876
Se  0.750  0.532  0.115
Se  0.250  0.031  0.124
Dy  0.750  0.892  0.073
Se  0.750  0.745  0.518
Se  0.750  0.288  0.239
Se  0.750  0.469  0.624
Dy  0.750  0.392  0.427
Ce  0.750  0.629  0.911
Dy  0.250  0.608  0.573
Dy  0.750  0.349  0.800
Se  0.250  0.712  0.761
Ce  0.250  0.371  0.089
Ce  0.250  0.871  0.411
Dy  0.250  0.651  0.200
Se  0.750  0.032  0.385
Se  0.250  0.968  0.615
Se  0.750  0.245  0.982
Dy  0.750  0.849  0.700
Se  0.250  0.531  0.376
Ce  0.750  0.129  0.589
Dy  0.250  0.151  0.300
Dy  0.250  0.108  0.927
Se  0.250  0.468  0.885